Here is an optimized crystal structure of Li2NiSn3P6O24 from Alexandria. Energies are from GGA-PBEsol.

Summary:
E_form (uncorrected): -1959 meV per atom
E_tot: -7.059 eV/atom
Size of the total moment: 0.00 μB/f.u.

a b c (Å): 8.327 8.327 8.811
angles (deg): 61.80 61.80 60.00
Element x y z (fractional)
Li 0.035 0.035 0.896
Li 0.509 0.509 0.474
Ni 0.150 0.150 0.549
Sn 0.852 0.852 0.443
Sn 0.644 0.644 0.069
Sn 0.357 0.357 0.929
P 0.254 0.961 0.262
P 0.961 0.523 0.262
P 0.523 0.254 0.262
P 0.449 0.762 0.746
P 0.044 0.449 0.746
P 0.762 0.044 0.746
O 0.719 0.885 0.929
O 0.468 0.719 0.929
O 0.047 0.991 0.284
O 0.885 0.468 0.929
O 0.392 0.749 0.265
O 0.279 0.980 0.416
O 0.991 0.677 0.284
O 0.749 0.593 0.265
O 0.593 0.392 0.265
O 0.645 0.731 0.596
O 0.298 0.975 0.715
O 0.027 0.645 0.596
O 0.980 0.324 0.416
O 0.677 0.047 0.284
O 0.324 0.279 0.416
O 0.367 0.625 0.758
O 0.251 0.367 0.758
O 0.012 0.298 0.715
O 0.731 0.027 0.596
O 0.625 0.251 0.758
O 0.097 0.503 0.075
O 0.975 0.012 0.715
O 0.503 0.325 0.075
O 0.325 0.097 0.075